No. 1
Material: LaCrP2
Method: DFT, meta-GGA SCAN
State: PBEsol geometry

Calculated values
Formation energy from the elements = -0.547 eV per atom

Cell: 4.7232 4.7232 4.7232 Å, 60.00 60.00 60.00°
Closest atoms and distances in Å follow each position.
Fractional positions:
La1 0.0000 0.0000 0.0000  8 P 2.89
Cr1 0.5000 0.5000 0.5000  8 P 2.89
P1 0.2500 0.2500 0.2500  4 Cr 2.89, 4 La 2.89
P2 0.7500 0.7500 0.7500  4 Cr 2.89, 4 La 2.89

---

No. 2
Material: LaCrP2
Method: DFT, meta-GGA SCAN
State: PBEsol geometry

Calculated values
Formation energy from the elements = -0.029 eV per atom

Cell: 4.6837 4.6837 4.6837 Å, 60.00 60.00 60.00°
Closest atoms and distances in Å follow each position.
Fractional positions:
La1 0.0000 0.0000 0.0000  4 Cr 2.87, 4 P 2.87
Cr1 0.2500 0.2500 0.2500  4 P 2.87, 4 La 2.87
P1 0.5000 0.5000 0.5000  4 P 2.87, 4 Cr 2.87
P2 0.7500 0.7500 0.7500  4 La 2.87, 4 P 2.87

---

No. 3
Material: LaCrP3
Method: DFT, meta-GGA SCAN
State: PBEsol geometry

Calculated values
Formation energy from the elements = 1.067 eV per atom

Cell: 5.2530 5.2530 5.2530 Å, 90.00 90.00 90.00°
Closest atoms and distances in Å follow each position.
Fractional positions:
La1 0.0000 0.0000 0.0000  6 P 2.63
Cr1 0.5000 0.5000 0.5000  12 P 3.71
P1 0.0000 0.0000 0.5000  2 La 2.63
P2 0.0000 0.5000 0.0000  2 La 2.63
P3 0.5000 0.0000 0.0000  2 La 2.63

---

No. 4
Material: LaCrP3
Method: DFT, meta-GGA SCAN
State: PBEsol geometry

Calculated values
Formation energy from the elements = -0.481 eV per atom

Cell: 4.4845 4.4845 4.4845 Å, 90.00 90.00 90.00°
Closest atoms and distances in Å follow each position.
Fractional positions:
La1 0.0000 0.0000 0.0000  12 P 3.17
Cr1 0.5000 0.5000 0.5000  6 P 2.24
P1 0.0000 0.5000 0.5000  2 Cr 2.24
P2 0.5000 0.0000 0.5000  2 Cr 2.24
P3 0.5000 0.5000 0.0000  2 Cr 2.24

---

No. 5
Material: LaCrP2
Method: DFT, meta-GGA SCAN
State: PBEsol geometry

Calculated values
Formation energy from the elements = -0.638 eV per atom

Cell: 6.9687 6.9687 6.9687 Å, 153.77 151.50 39.12°
Closest atoms and distances in Å follow each position.
Fractional positions:
La1 0.0000 0.0000 0.0000  6 P 2.88-2.94, 2 La 3.16
Cr1 0.7524 0.2524 0.5000  6 P 2.27-2.49
P1 0.3178 0.8178 0.5000  4 Cr 2.49
P2 0.6283 0.6283 0.0000  2 Cr 2.27

---

No. 6
Material: La3CrPb
Method: DFT, meta-GGA SCAN
State: PBEsol geometry

Calculated values
Formation energy from the elements = -0.156 eV per atom

Cell: 5.1741 5.1741 5.1741 Å, 90.00 90.00 90.00°
Closest atoms and distances in Å follow each position.
Fractional positions:
La1 0.0000 0.0000 0.5000  2 Cr 2.59
La2 0.0000 0.5000 0.0000  2 Cr 2.59
La3 0.5000 0.0000 0.0000  2 Cr 2.59
Cr1 0.0000 0.0000 0.0000  6 La 2.59
Pb1 0.5000 0.5000 0.5000  12 La 3.66

---

No. 7
Material: LaCr2Pb
Method: DFT, meta-GGA SCAN
State: PBEsol geometry

Calculated values
Formation energy from the elements = 0.059 eV per atom

Cell: 3.1721 3.1721 7.8379 Å, 90.00 90.00 90.00°
Closest atoms and distances in Å follow each position.
Fractional positions:
La1 0.0000 0.0000 0.0000  5 Cr 3.16-3.24, 4 La 3.17, 4 Pb 3.48
Cr1 0.0000 0.0000 0.5866  4 Cr 2.46
Cr2 0.5000 0.5000 0.7159  4 Cr 2.46
Pb1 0.5000 0.5000 0.3394  5 Cr 2.95-2.96, 4 Pb 3.17

---

No. 8
Material: LaCr2Pb
Method: DFT, meta-GGA SCAN
State: PBEsol geometry

Calculated values
Formation energy from the elements = 0.619 eV per atom

Cell: 3.6416 3.6416 6.4965 Å, 90.00 90.00 90.00°
Closest atoms and distances in Å follow each position.
Fractional positions:
La1 0.0000 0.0000 0.0000  2 Pb 3.25, 8 Cr 3.42
Cr1 0.5000 0.5000 0.3465  1 Cr 1.99
Cr2 0.5000 0.5000 0.6535  1 Cr 1.99
Pb1 0.0000 0.0000 0.5000  8 Cr 2.76

---

No. 9
Material: LaCr2Pb
Method: DFT, meta-GGA SCAN
State: PBEsol geometry

Calculated values
Formation energy from the elements = 0.152 eV per atom

Cell: 5.0569 5.0569 5.0569 Å, 60.00 60.00 60.00°
Closest atoms and distances in Å follow each position.
Fractional positions:
La1 0.0000 0.0000 0.0000  4 Cr 3.10, 4 Pb 3.10
Cr1 0.5000 0.5000 0.5000  4 Cr 3.10, 4 Pb 3.10
Cr2 0.7500 0.7500 0.7500  4 Cr 3.10, 4 La 3.10
Pb1 0.2500 0.2500 0.2500  4 Cr 3.10, 4 La 3.10

---

No. 10
Material: La2CrPb
Method: DFT, meta-GGA SCAN
State: PBEsol geometry

Calculated values
Formation energy from the elements = -0.273 eV per atom

Cell: 5.9362 5.9362 5.9362 Å, 133.83 133.83 67.36°
Closest atoms and distances in Å follow each position.
Fractional positions:
La1 0.0000 0.0000 0.0000  4 Pb 3.29, 4 Cr 3.39, 4 La 3.39
La2 0.7500 0.2500 0.5000  4 Cr 3.29, 4 La 3.39, 4 Pb 3.39
Cr1 0.2500 0.7500 0.5000  8 La 3.29-3.39, 4 Pb 3.39
Pb1 0.5000 0.5000 0.0000  8 La 3.29-3.39, 4 Cr 3.39

---

No. 11
Material: LaCr2Pt2
Method: DFT, meta-GGA SCAN
State: PBEsol geometry

Calculated values
Formation energy from the elements = -0.461 eV per atom

Cell: 6.7091 6.7091 6.7091 Å, 147.35 147.35 46.85°
Closest atoms and distances in Å follow each position.
Fractional positions:
La1 0.0000 0.0000 0.0000  8 Pt 3.00
Cr1 0.2500 0.7500 0.5000  4 Pt 2.54, 4 Cr 2.67
Cr2 0.7500 0.2500 0.5000  4 Pt 2.54, 4 Cr 2.67
Pt1 0.3881 0.3881 0.0000  4 Cr 2.54, 1 Pt 2.76
Pt2 0.6119 0.6119 0.0000  4 Cr 2.54, 1 Pt 2.76

---

No. 12
Material: LaCr4Pt
Method: DFT, meta-GGA SCAN
State: PBEsol geometry

Calculated values
Formation energy from the elements = 0.465 eV per atom

Cell: 4.9915 4.9915 4.9915 Å, 60.00 60.00 60.00°
Closest atoms and distances in Å follow each position.
Fractional positions:
La1 0.0000 0.0000 0.0000  12 Cr 2.93, 4 Pt 3.06
Cr1 0.1263 0.6246 0.6246  6 Cr 2.49-2.50
Cr2 0.6246 0.1263 0.6246  6 Cr 2.49-2.50
Cr3 0.6246 0.6246 0.1263  6 Cr 2.49-2.50
Cr4 0.6246 0.6246 0.6246  6 Cr 2.49-2.50
Pt1 0.2500 0.2500 0.2500  12 Cr 2.93, 4 La 3.06

---

Number 1: calculated volume 18.63 A^3/atom, M_tot 3.069 μB/cell. Number 2: calculated volume 18.16 A^3/atom, M_tot 3.773 μB/cell. Number 3: calculated volume 28.99 A^3/atom, M_tot 3.091 μB/cell. Number 4: calculated volume 18.04 A^3/atom, M_tot 1.161 μB/cell. Number 5: calculated volume 17.81 A^3/atom, M_tot 2.657 μB/cell. Number 6: calculated volume 27.70 A^3/atom, M_tot 0.000 μB/cell. Number 7: calculated volume 19.72 A^3/atom, M_tot 0.741 μB/cell. Number 8: calculated volume 21.54 A^3/atom, M_tot 2.067 μB/cell. Number 9: calculated volume 22.86 A^3/atom, M_tot 9.273 μB/cell. Number 10: calculated volume 26.77 A^3/atom, M_tot 3.813 μB/cell. Number 11: calculated volume 17.52 A^3/atom, M_tot 7.694 μB/cell. Number 12: calculated volume 14.66 A^3/atom, M_tot 0.000 μB/cell.